The following is a DFT calculation (GGA-PBE) of a relaxed SnB4 crystal.

abc: 4.5093 4.5093 4.5093
angles: 90.00 90.00 90.00
Closest atoms and distances in Å follow each position.
Space group Pm-3m (No. 221)
Inequivalent atoms, fractional coordinates:
Sn (0.0000, 0.0000, 0.0000) (multiplicity 1)  6 B 2.25
B (0.0000, 0.0000, 0.5000) (multiplicity 3)  2 Sn 2.25
B (0.5000, 0.5000, 0.5000) (multiplicity 1)  12 B 3.19

## Properties
Fermi-level density of states = 4.7 states/eV/f.u.
E = -3.11 eV per atom
DFT formation energy = 3.03 eV per atom